Below is a relaxed Sc2TcIr crystal, with properties calculated at the GGA-PBE level.

a b c (Å): 3.035 3.035 27.254
angles (deg): 90.00 90.00 120.00
Atoms (fractional coordinates):
Sc (0.000, 0.000, 0.092)
Sc (0.000, 0.000, 0.908)
Sc (0.333, 0.667, 0.575)
Sc (0.333, 0.667, 0.759)
Sc (0.667, 0.333, 0.241)
Sc (0.667, 0.333, 0.425)
Tc (0.000, 0.000, 0.500)
Tc (0.333, 0.667, 0.167)
Tc (0.667, 0.333, 0.833)
Ir (0.000, 0.000, 0.000)
Ir (0.333, 0.667, 0.667)
Ir (0.667, 0.333, 0.333)

Computed properties:
Density (g/cm³): 8.711
Uncorrected energy (eV/atom): -7.87